Here is a geometry-optimized Lu2AgMo structure from the Alexandria database. Energies are from PBE.

```
Lu2AgMo
1.0
-2.214 1.203 2.352
0.685 -2.702 2.027
5.374 3.729 3.152
Lu Mo Ag
2 1 1
Cartesian
4.127 2.864 2.421 Lu
1.247 0.865 0.731 Lu
-0.764 -0.749 2.189 Mo
1.922 1.115 3.766 Ag
```

## Properties
**Formation energy from the elements**: -0.005 eV per atom
**Space-group type**: P4/mmm
**Magnetic moment**: 0.00 Bohr magnetons per cell
**Crystal system**: tetragonal
**Theoretical density**: 10.66 g/cm3



Here is a geometry-optimized NaLu2Ag structure from the Alexandria database. Energies are from PBE.

```
NaLu2Ag
1.0
-1.462 -2.367 2.121
-0.637 -2.069 -2.748
8.268 -4.073 1.152
Lu Ag Na
2 1 1
Cartesian
1.564 -0.771 0.218 Lu
6.704 -3.303 0.934 Lu
-1.049 -2.218 -0.313 Ag
3.085 -4.255 0.262 Na
```

## Properties
**Formation energy from the elements**: 0.036 eV per atom
**Space-group type**: P4/mmm
**Magnetic moment**: 0.00 Bohr magnetons per cell
**Crystal system**: tetragonal
**Theoretical density**: 7.02 g/cm3
**Distance to the lowest polymorph of the same formula**: 0 meV per atom



Here is a geometry-optimized NaLu2Ag structure from the Alexandria database. Energies are from PBE.

```
NaLu2Ag
1.0
3.387 0.000 0.000
1.694 2.933 0.000
1.694 0.978 11.521
Lu Na Ag
2 1 1
Cartesian
1.694 0.978 8.096 Lu
5.081 2.933 3.425 Lu
0.000 0.000 0.000 Na
3.387 1.956 5.760 Ag
```

## Properties
**Formation energy from the elements**: 0.178 eV per atom
**Space-group type**: R-3m
**Magnetic moment**: 0.00 Bohr magnetons per cell
**Crystal system**: trigonal
**Theoretical density**: 6.97 g/cm3
**Distance to the lowest polymorph of the same formula**: 142 meV per atom



Here is a geometry-optimized NaLuTlAg structure from the Alexandria database. Energies are from PBE.

```
NaLuTlAg
1.0
-4.022 1.246 2.922
-2.814 -3.681 2.190
0.202 -0.703 5.073
Tl Ag Na Lu
1 1 1 1
Cartesian
-4.976 -2.353 7.639 Tl
-1.659 -0.784 2.546 Ag
-3.317 -1.569 5.092 Na
0.000 0.000 0.000 Lu
```

## Properties
**Formation energy from the elements**: -0.113 eV per atom
**Space-group type**: F-43m
**Magnetic moment**: 0.00 Bohr magnetons per cell
**Crystal system**: cubic
**Theoretical density**: 8.90 g/cm3



Here is a geometry-optimized NdLu2Ag structure from the Alexandria database. Energies are from PBE.

```
NdLu2Ag
1.0
-1.173 -4.384 -1.654
1.027 -1.875 4.242
-4.492 0.678 1.388
Lu Nd Ag
2 1 1
Cartesian
0.514 -0.938 2.121 Lu
-2.246 0.339 0.694 Lu
-2.319 -2.790 1.988 Nd
-0.587 -2.192 -0.827 Ag
```

## Properties
**Formation energy from the elements**: 0.019 eV per atom
**Space-group type**: P4/mmm
**Magnetic moment**: 0.00 Bohr magnetons per cell
**Crystal system**: tetragonal
**Theoretical density**: 9.17 g/cm3
**Distance to the lowest polymorph of the same formula**: 157 meV per atom



Here is a geometry-optimized NdLuAg2 structure from the Alexandria database. Energies are from PBE.

```
NdLuAg2
1.0
5.190 0.000 0.000
2.595 4.494 0.000
2.595 1.498 4.237
Ag Lu Nd
2 1 1
Cartesian
2.595 1.498 1.059 Ag
7.785 4.494 3.178 Ag
0.000 0.000 0.000 Lu
5.190 2.996 2.119 Nd
```

## Properties
**Formation energy from the elements**: -0.281 eV per atom
**Space-group type**: Fm-3m
**Magnetic moment**: 0.00 Bohr magnetons per cell
**Crystal system**: cubic
**Theoretical density**: 8.99 g/cm3
**Distance to the lowest polymorph of the same formula**: 24 meV per atom